(1)
The following is a DFT calculation (PBE) of an optimized crystal structure of CaNpZn4.

Space-group type: No. 216
Formation energy in meV per atom: 1.3
VASP energy in eV/atom: -3.338
Spin magnetization in μB per cell: 4.2

Unit cell a=5.5015 b=5.5015 c=5.5015 alpha=60.00 beta=60.00 gamma=60.00
Site moments in Bohr magnetons follow the coordinates.
Atoms (fractional coordinates):
1 Zn 0.6255 0.6255 0.1235  -0.01
2 Zn 0.6255 0.1235 0.6255  -0.01
3 Np 0.0000 0.0000 0.0000  3.94
4 Zn 0.6255 0.6255 0.6255  -0.01
5 Ca 0.2500 0.2500 0.2500  0.03
6 Zn 0.1235 0.6255 0.6255  -0.01



(2)
The following is a DFT calculation (PBE) of an optimized crystal structure of SmZr2Tc.

Space-group type: No. 166
Formation energy in meV per atom: 203.6
VASP energy in eV/atom: -7.842
Spin magnetization in μB per cell: 0.0

Unit cell a=3.2545 b=3.2545 c=10.5396 alpha=81.12 beta=81.12 gamma=60.00
Atoms (fractional coordinates):
1 Sm 0.0000 0.0000 0.0000
2 Tc 0.5000 0.5000 0.5000
3 Zr 0.1031 0.1031 0.6907
4 Zr 0.8969 0.8969 0.3093



> Which of these has the highest spin magnetization?

CaNpZn4